The following is a PBE calculation of a relaxed NaMo3Br crystal, from the Alexandria database.

Calculated values
Raw formation energy: 2.9064 eV/atom
Energy relative to the lowest polymorph listed for this composition: 1248 meV/atom
Fermi-level density of states: 8.18 states/eV/f.u.
Calculated density: 6.24 g/cm3

Cell lengths 4.7029, 4.7029, 4.7029 Å; angles 90.00, 90.00, 90.00 degrees
Closest atoms and distances in Å follow each position.
Space group Pm-3m (No. 221)
Asymmetric unit:
Na1 0.0000 0.0000 0.0000 (multiplicity 1)  6 Mo 2.35
Mo1 0.0000 0.0000 0.5000 (multiplicity 3)  2 Na 2.35
Br1 0.5000 0.5000 0.5000 (multiplicity 1)  12 Mo 3.33